Compound: SmAlTc
Source: OQMD
Functional: PBE
Structure: optimized geometry

Its total moment is 4.1 Bohr magnetons per cell. As for the energy above the most stable polymorph in this dataset: 748 meV per atom. The electronic total energy comes out at -5.1919 eV/atom.

Cell: 6.660 6.660 6.660 Å, 90.00 90.00 90.00°
Space group F-43m (No. 216)
Asymmetric unit:
Sm  0.000  0.000  0.000 [4 per cell]
Al  0.250  0.250  0.750 [4 per cell]
Tc  0.250  0.250  0.250 [4 per cell]


Compound: ScGaSiPt
Source: OQMD
Functional: PBE
Structure: optimized geometry

Its total moment is 0.0 Bohr magnetons per cell. As for the energy above the most stable polymorph in this dataset: 0 meV per atom. The electronic total energy comes out at -6.0838 eV/atom.

Cell: 9.764 4.181 6.480 Å, 90.00 91.95 90.00°
Space group C2/m (No. 12)
Asymmetric unit:
Sc  0.080  0.000  0.256 [4 per cell]
Ga  0.128  0.500  0.954 [4 per cell]
Si  0.121  0.500  0.550 [4 per cell]
Pt  0.205  0.000  0.726 [4 per cell]


Compound: Ba2CoOsN6
Source: OQMD
Functional: PBE
Structure: optimized geometry

Its total moment is 7.5 Bohr magnetons per cell. The electronic total energy comes out at -6.7915 eV/atom.

Cell: 5.565 5.565 8.369 Å, 90.00 90.00 90.00°
Space group I4/mmm (No. 139)
Asymmetric unit:
Ba  0.000  0.500  0.250 [4 per cell]
Co  0.000  0.000  0.000 [2 per cell]
Os  0.000  0.000  0.500 [2 per cell]
N  0.000  0.000  0.271 [4 per cell]
N  0.244  0.244  0.000 [8 per cell]


Compound: Tm3CoSi3
Source: OQMD
Functional: PBE
Structure: optimized geometry

Its total moment is 0.0 Bohr magnetons per cell. The electronic total energy comes out at -6.0588 eV/atom.

Cell: 10.309 4.117 13.287 Å, 90.00 111.00 90.00°
Space group C2/m (No. 12)
Asymmetric unit:
Tm  0.026  0.000  0.379 [4 per cell]
Tm  0.101  0.000  0.920 [4 per cell]
Tm  0.247  0.000  0.229 [4 per cell]
Co  0.247  0.500  0.417 [4 per cell]
Si  0.051  0.500  0.241 [4 per cell]
Si  0.115  0.500  0.076 [4 per cell]
Si  0.139  0.500  0.544 [4 per cell]